# Li6VBr8, optimized geometry, DFT GGA-PBE
# Total DFT energy (no corrections) = -3.645 eV/atom
# Volume = 22.271 Å³/atom
# Uncorrected formation energy = -1.38 eV per atom
# Space group = Fm-3m (225)
data_Li6VBr8
_chemical_formula_sum 'Li6 V1 Br8'
_cell_length_a 7.788
_cell_length_b 7.788
_cell_length_c 7.788
_cell_angle_alpha 60.00
_cell_angle_beta 60.00
_cell_angle_gamma 60.00
_symmetry_space_group_name_H-M 'P 1'
_symmetry_Int_Tables_number 1
_symmetry_space_group_name_Hall 'P 1'
loop_
_atom_site_label
_atom_site_type_symbol
_atom_site_fract_x
_atom_site_fract_y
_atom_site_fract_z
_atom_site_occupancy
Li1 Li 0.000 0.500 0.500 1
Li2 Li 0.500 0.000 0.000 1
Li3 Li 0.500 0.500 0.000 1
Li4 Li 0.000 0.000 0.500 1
Li5 Li 0.000 0.500 0.000 1
Li6 Li 0.500 0.000 0.500 1
V1 V 0.000 0.000 0.000 1
Br1 Br 0.750 0.750 0.750 1
Br2 Br 0.250 0.250 0.250 1
Br3 Br 0.759 0.241 0.241 1
Br4 Br 0.241 0.759 0.759 1
Br5 Br 0.241 0.241 0.759 1
Br6 Br 0.759 0.759 0.241 1
Br7 Br 0.759 0.241 0.759 1
Br8 Br 0.241 0.759 0.241 1

=====

# Na2MgGa, optimized geometry, DFT GGA-PBE
# Total DFT energy (no corrections) = -1.772 eV/atom
# Volume = 24.657 Å³/atom
# Fermi-level density of states = 0.5320 states/eV/atom
# E_form = 0.043 eV/atom
# Space group = P4/mmm (123)
data_Na2MgGa
_chemical_formula_sum 'Na2 Mg1 Ga1'
_cell_length_a 5.216
_cell_length_b 4.349
_cell_length_c 4.349
_cell_angle_alpha 90.00
_cell_angle_beta 90.00
_cell_angle_gamma 90.00
_symmetry_space_group_name_H-M 'P 1'
_symmetry_Int_Tables_number 1
_symmetry_space_group_name_Hall 'P 1'
loop_
_atom_site_label
_atom_site_type_symbol
_atom_site_fract_x
_atom_site_fract_y
_atom_site_fract_z
_atom_site_occupancy
Na1 Na 0.000 0.000 0.500 1
Na2 Na 0.000 0.500 0.000 1
Mg1 Mg 0.500 0.000 0.000 1
Ga1 Ga 0.500 0.500 0.500 1

=====

# SrBiIr2Ru, optimized geometry, DFT GGA-PBE
# Total DFT energy (no corrections) = -5.591 eV/atom
# Volume = 24.852 Å³/atom
# Fermi-level density of states = 1.1583 states/eV/atom
# E_form = 0.921 eV/atom
# Space group = P4/mmm (123)
data_SrBiIr2Ru
_chemical_formula_sum 'Sr1 Bi1 Ir2 Ru1'
_cell_length_a 4.793
_cell_length_b 5.410
_cell_length_c 4.793
_cell_angle_alpha 90.00
_cell_angle_beta 90.00
_cell_angle_gamma 90.00
_symmetry_space_group_name_H-M 'P 1'
_symmetry_Int_Tables_number 1
_symmetry_space_group_name_Hall 'P 1'
loop_
_atom_site_label
_atom_site_type_symbol
_atom_site_fract_x
_atom_site_fract_y
_atom_site_fract_z
_atom_site_occupancy
Ru1 Ru 0.000 0.000 0.000 1
Ir1 Ir 0.000 0.000 0.500 1
Ir2 Ir 0.500 0.000 0.000 1
Bi1 Bi 0.500 0.500 0.500 1
Sr1 Sr 0.000 0.500 0.000 1

=====

# Pr2Ga3Cu4Au, optimized geometry, DFT GGA-PBE
# Total DFT energy (no corrections) = -4.233 eV/atom
# Volume = 18.688 Å³/atom
# Fermi-level density of states = 0.7129 states/eV/atom
# E_form = -0.403 eV/atom
# Space group = P-4m2 (115)
data_Pr2Ga3Cu4Au
_chemical_formula_sum 'Pr2 Ga3 Cu4 Au1'
_cell_length_a 4.241
_cell_length_b 4.241
_cell_length_c 10.390
_cell_angle_alpha 90.00
_cell_angle_beta 90.00
_cell_angle_gamma 90.00
_symmetry_space_group_name_H-M 'P 1'
_symmetry_Int_Tables_number 1
_symmetry_space_group_name_Hall 'P 1'
loop_
_atom_site_label
_atom_site_type_symbol
_atom_site_fract_x
_atom_site_fract_y
_atom_site_fract_z
_atom_site_occupancy
Pr1 Pr 0.500 0.000 0.240 1
Pr2 Pr 0.000 0.500 0.760 1
Ga1 Ga 0.000 0.000 0.500 1
Ga2 Ga 0.500 0.000 0.877 1
Ga3 Ga 0.000 0.500 0.123 1
Cu1 Cu 0.500 0.500 0.000 1
Cu2 Cu 0.000 0.000 0.000 1
Cu3 Cu 0.500 0.000 0.643 1
Cu4 Cu 0.000 0.500 0.357 1
Au1 Au 0.500 0.500 0.500 1

=====

# SmTm6In6, optimized geometry, DFT GGA-PBE
# Total DFT energy (no corrections) = -3.998 eV/atom
# Volume = 27.252 Å³/atom
# Fermi-level density of states = 0.9846 states/eV/atom
# E_form = -0.307 eV/atom
# Space group = P6/mmm (191)
data_SmTm6In6
_chemical_formula_sum 'Sm1 Tm6 In6'
_cell_length_a 6.193
_cell_length_b 6.193
_cell_length_c 10.666
_cell_angle_alpha 90.00
_cell_angle_beta 90.00
_cell_angle_gamma 120.00
_symmetry_space_group_name_H-M 'P 1'
_symmetry_Int_Tables_number 1
_symmetry_space_group_name_Hall 'P 1'
loop_
_atom_site_label
_atom_site_type_symbol
_atom_site_fract_x
_atom_site_fract_y
_atom_site_fract_z
_atom_site_occupancy
Sm1 Sm 0.000 0.000 0.000 1
Tm1 Tm 0.000 0.000 0.657 1
Tm2 Tm 0.000 0.000 0.343 1
Tm3 Tm 0.333 0.667 0.000 1
Tm4 Tm 0.667 0.333 0.000 1
Tm5 Tm 0.333 0.667 0.500 1
Tm6 Tm 0.667 0.333 0.500 1
In1 In 0.000 0.500 0.755 1
In2 In 0.500 0.000 0.755 1
In3 In 0.500 0.500 0.755 1
In4 In 0.500 0.000 0.245 1
In5 In 0.000 0.500 0.245 1
In6 In 0.500 0.500 0.245 1

=====

- Number 4 is which compound?
  Pr2Ga3Cu4Au

=====

- Look up the volume of the fifth one.
  27.252 Å³/atom